A plane-wave DFT calculation with PBE-GGA was carried out for an optimized crystal structure of YAg2I6.

Cell and atoms, written as POSCAR:
```
YAg2I6
1.0
7.0064 -2.3176 0.0000
7.0064 2.3176 0.0000
-2.9531 0.0000 10.8975
Y Ag I
1 2 6
Direct
0.0000 0.0000 0.0000 Y
0.2161 0.2161 0.6383 Ag
0.7839 0.7839 0.3617 Ag
0.0537 0.0537 0.7649 I
0.3510 0.3510 0.9002 I
0.3685 0.3685 0.5056 I
0.6315 0.6315 0.4944 I
0.6490 0.6490 0.0998 I
0.9463 0.9463 0.2351 I
```

Summary:
Total energy in eV per atom: -3.0108